Crystalline Ti2WF at its relaxed geometry, computed with GGA+U.

- Total energy: -5.9505 eV/atom
- D(E_F): 1.202 states/eV per atom
- Crystal system: cubic
- E above lowest polymorph: 427 meV/atom

a = 4.4557 Å, b = 4.4557 Å, c = 4.4557 Å
α = 60.00°, β = 60.00°, γ = 60.00°
With the nearest neighbours (Å) after each atom.
Atoms (fractional coordinates):
Ti  0.2500  0.2500  0.2500  4 F 2.73, 4 W 2.73
Ti  0.7500  0.7500  0.7500  4 F 2.73, 4 W 2.73
W  0.0000  0.0000  0.0000  8 Ti 2.73
F  0.5000  0.5000  0.5000  8 Ti 2.73